w | Rb2TlBiBr6 (GGA-PBE, relaxed); mass density = 4.059 g cm⁻³; symmetry = Fm-3m, No. 225
1.0
-6.634 5.197 1.151
-6.161 -2.116 5.470
-0.845 4.263 7.312
Rb Tl Bi Br
2 1 1 6
direct
0.750 0.750 0.750 Rb
0.250 0.250 0.250 Rb
0.500 0.500 0.500 Tl
0.000 0.000 0.000 Bi
0.762 0.238 0.238 Br
0.238 0.238 0.762 Br
0.238 0.762 0.762 Br
0.238 0.762 0.238 Br
0.762 0.238 0.762 Br
0.762 0.762 0.238 Br

=====

x | Rb2TlBiBr6 (GGA-PBE, relaxed); mass density = 4.316 g cm⁻³; symmetry = P2_1/c, No. 14
1.0
-4.678 2.668 -6.055
1.913 -7.056 -4.588
-9.253 -5.498 4.599
Rb Tl Bi Br
4 2 2 12
direct
0.029 0.921 0.252 Rb
0.529 0.579 0.752 Rb
0.971 0.079 0.748 Rb
0.471 0.421 0.248 Rb
0.500 0.000 0.000 Tl
0.000 0.500 0.500 Tl
0.500 0.000 0.500 Bi
0.000 0.500 0.000 Bi
0.289 0.681 0.054 Br
0.789 0.819 0.554 Br
0.711 0.319 0.946 Br
0.211 0.181 0.446 Br
0.327 0.718 0.438 Br
0.827 0.782 0.938 Br
0.673 0.282 0.562 Br
0.173 0.218 0.062 Br
0.885 0.539 0.233 Br
0.385 0.961 0.733 Br
0.115 0.461 0.767 Br
0.615 0.039 0.267 Br

=====

Ordering by calculated energy gives the sequence x, w, with the first entry being the most stable.

=====

w | Re2BiBr (GGA-PBE, relaxed); mass density = 10.953 g cm⁻³; symmetry = I-42d, No. 122
1.0
6.053 0.000 0.000
0.000 6.053 0.000
3.026 3.026 5.473
Re Bi Br
4 2 2
direct
0.581 0.125 0.250 Re
0.169 0.625 0.250 Re
0.375 0.419 0.750 Re
0.875 0.831 0.750 Re
0.000 0.000 0.000 Bi
0.750 0.250 0.500 Bi
0.500 0.500 0.000 Br
0.250 0.750 0.500 Br

=====

x | Re2BiBr (GGA-PBE, relaxed); mass density = 15.009 g cm⁻³; symmetry = Fm-3m, No. 225
1.0
3.085 -1.353 -3.270
2.853 -3.635 0.826
-0.632 -4.048 -2.292
Re Bi Br
2 1 1
direct
0.250 0.250 0.250 Re
0.750 0.750 0.750 Re
0.500 0.500 0.500 Bi
0.000 0.000 0.000 Br

=====

Ordering by calculated energy gives the sequence x, w, with the first entry being the most stable.

=====

w | Re2BiBr2 (GGA-PBE, relaxed); mass density = 11.280 g cm⁻³; symmetry = P4/mbm, No. 127
1.0
8.347 0.000 0.000
0.000 8.347 0.000
0.000 0.000 3.132
Re Bi Br
4 2 4
direct
0.401 0.901 0.000 Re
0.901 0.599 0.000 Re
0.599 0.099 0.000 Re
0.099 0.401 0.000 Re
0.000 0.000 0.000 Bi
0.500 0.500 0.000 Bi
0.223 0.723 0.500 Br
0.723 0.777 0.500 Br
0.777 0.277 0.500 Br
0.277 0.223 0.500 Br

=====

x | Re2BiBr2 (GGA-PBE, relaxed); mass density = 10.972 g cm⁻³; symmetry = I4/mmm, No. 139
1.0
-3.844 -0.652 -2.009
0.848 -4.297 -0.228
-4.070 -3.257 4.055
Re Bi Br
2 1 2
direct
0.404 0.404 0.193 Re
0.596 0.596 0.807 Re
0.000 0.000 0.000 Bi
0.750 0.250 0.500 Br
0.250 0.750 0.500 Br

=====

Ordering by calculated energy gives the sequence x, w, with the first entry being the most stable.

=====

w | Re3BiBr (GGA-PBE, relaxed); mass density = 9.966 g cm⁻³; symmetry = Pm-3m, No. 221
1.0
5.207 0.000 0.000
0.000 5.207 0.000
0.000 0.000 5.207
Re Bi Br
3 1 1
direct
0.000 0.500 0.000 Re
0.000 0.000 0.500 Re
0.500 0.000 0.000 Re
0.000 0.000 0.000 Bi
0.500 0.500 0.500 Br

=====

x | Re3BiBr (GGA-PBE, relaxed); mass density = 13.860 g cm⁻³; symmetry = Pm-3m, No. 221
1.0
4.665 0.000 0.000
0.000 4.665 0.000
0.000 0.000 4.665
Re Bi Br
3 1 1
direct
0.000 0.500 0.000 Re
0.000 0.000 0.500 Re
0.500 0.000 0.000 Re
0.500 0.500 0.500 Bi
0.000 0.000 0.000 Br

=====

Ordering by calculated energy gives the sequence x, w, with the first entry being the most stable.

=====

w | BiRh2Br (GGA-PBE, relaxed); mass density = 8.896 g cm⁻³; symmetry = I-42d, No. 122
1.0
4.967 0.000 0.000
0.000 4.967 0.000
2.484 2.484 7.485
Rh Bi Br
4 2 2
direct
0.560 0.125 0.250 Rh
0.190 0.625 0.250 Rh
0.375 0.440 0.750 Rh
0.875 0.810 0.750 Rh
0.000 0.000 0.000 Bi
0.750 0.250 0.500 Bi
0.500 0.500 0.000 Br
0.250 0.750 0.500 Br

=====

x | BiRh2Br (GGA-PBE, relaxed); mass density = 10.912 g cm⁻³; symmetry = Fm-3m, No. 225
1.0
-3.965 -2.595 -0.103
-4.135 1.940 1.265
-3.313 0.864 -3.277
Rh Bi Br
2 1 1
direct
0.250 0.250 0.250 Rh
0.750 0.750 0.750 Rh
0.500 0.500 0.500 Bi
0.000 0.000 0.000 Br

=====

Ordering by calculated energy gives the sequence x, w, with the first entry being the most stable.

=====

w | BiRhBr2 (GGA-PBE, relaxed); mass density = 6.373 g cm⁻³; symmetry = I-42d, No. 122
1.0
9.639 0.000 0.000
0.000 9.639 0.000
4.819 4.819 2.646
Rh Bi Br
2 2 4
direct
0.500 0.500 0.000 Rh
0.250 0.750 0.500 Rh
0.000 0.000 0.000 Bi
0.750 0.250 0.500 Bi
0.462 0.125 0.250 Br
0.288 0.625 0.250 Br
0.375 0.538 0.750 Br
0.875 0.712 0.750 Br

=====

x | BiRhBr2 (GGA-PBE, relaxed); mass density = 8.644 g cm⁻³; symmetry = Fm-3m, No. 225
1.0
0.000 3.565 3.565
3.565 0.000 3.565
3.565 3.565 0.000
Rh Bi Br
1 1 2
direct
0.000 0.000 0.000 Rh
0.500 0.500 0.500 Bi
0.250 0.250 0.250 Br
0.750 0.750 0.750 Br

=====

Ordering by calculated energy gives the sequence w, x, with the first entry being the most stable.

=====

w | Bi2RuBr (GGA-PBE, relaxed); mass density = 6.839 g cm⁻³; symmetry = I-42d, No. 122
1.0
6.581 0.000 0.000
0.000 6.581 0.000
3.290 3.290 6.717
Ru Bi Br
2 4 2
direct
0.000 0.000 0.000 Ru
0.750 0.250 0.500 Ru
0.716 0.125 0.250 Bi
0.034 0.625 0.250 Bi
0.375 0.284 0.750 Bi
0.875 0.966 0.750 Bi
0.500 0.500 0.000 Br
0.250 0.750 0.500 Br

=====

x | Bi2RuBr (GGA-PBE, relaxed); mass density = 10.527 g cm⁻³; symmetry = Fm-3m, No. 225
1.0
0.000 3.615 3.615
3.615 0.000 3.615
3.615 3.615 0.000
Ru Bi Br
1 2 1
direct
0.500 0.500 0.500 Ru
0.250 0.250 0.250 Bi
0.750 0.750 0.750 Bi
0.000 0.000 0.000 Br

=====

Ordering by calculated energy gives the sequence w, x, with the first entry being the most stable.

=====

w | Bi3RuBr (GGA-PBE, relaxed); mass density = 8.774 g cm⁻³; symmetry = Pm-3m, No. 221
1.0
5.347 0.000 0.000
0.000 5.347 0.000
0.000 0.000 5.347
Ru Bi Br
1 3 1
direct
0.000 0.000 0.000 Ru
0.000 0.500 0.000 Bi
0.000 0.000 0.500 Bi
0.500 0.000 0.000 Bi
0.500 0.500 0.500 Br

=====

x | Bi3RuBr (GGA-PBE, relaxed); mass density = 8.095 g cm⁻³; symmetry = Pm-3m, No. 221
1.0
-3.168 4.440 -0.651
-4.282 -3.229 -1.185
-1.341 -0.176 5.324
Ru Bi Br
1 3 1
direct
0.500 0.500 0.500 Ru
0.000 0.500 0.000 Bi
0.000 0.000 0.500 Bi
0.500 0.000 0.000 Bi
0.000 0.000 0.000 Br

=====

Ordering by calculated energy gives the sequence w, x, with the first entry being the most stable.

=====

w | BiRu2Br (GGA-PBE, relaxed); mass density = 9.523 g cm⁻³; symmetry = I-42d, No. 122
1.0
-1.106 1.593 -4.205
-0.030 -4.333 -1.633
-8.322 -1.995 -1.117
Ru Bi Br
4 2 2
direct
0.541 0.125 0.250 Ru
0.209 0.625 0.250 Ru
0.375 0.459 0.750 Ru
0.875 0.791 0.750 Ru
0.000 0.000 0.000 Bi
0.750 0.250 0.500 Bi
0.500 0.500 0.000 Br
0.250 0.750 0.500 Br

=====

x | BiRu2Br (GGA-PBE, relaxed); mass density = 11.124 g cm⁻³; symmetry = Fm-3m, No. 225
1.0
0.000 3.322 3.322
3.322 0.000 3.322
3.322 3.322 0.000
Ru Bi Br
2 1 1
direct
0.250 0.250 0.250 Ru
0.750 0.750 0.750 Ru
0.500 0.500 0.500 Bi
0.000 0.000 0.000 Br

=====

Ordering by calculated energy gives the sequence w, x, with the first entry being the most stable.

=====

w | BiRu3Br (GGA-PBE, relaxed); mass density = 7.415 g cm⁻³; symmetry = Pm-3m, No. 221
1.0
-4.774 1.364 -1.163
-1.083 -4.831 -1.219
-1.428 -0.894 4.813
Ru Bi Br
3 1 1
direct
0.000 0.500 0.000 Ru
0.000 0.000 0.500 Ru
0.500 0.000 0.000 Ru
0.000 0.000 0.000 Bi
0.500 0.500 0.500 Br

=====

x | BiRu3Br (GGA-PBE, relaxed); mass density = 9.806 g cm⁻³; symmetry = Pm-3m, No. 221
1.0
4.646 0.000 0.000
0.000 4.646 0.000
0.000 0.000 4.646
Ru Bi Br
3 1 1
direct
0.000 0.500 0.000 Ru
0.000 0.000 0.500 Ru
0.500 0.000 0.000 Ru
0.500 0.500 0.500 Bi
0.000 0.000 0.000 Br

=====

Ordering by calculated energy gives the sequence x, w, with the first entry being the most stable.

=====

w | BiSBr3 (GGA-PBE, relaxed); mass density = 5.651 g cm⁻³; symmetry = Pm-3m, No. 221
1.0
5.208 0.000 0.000
0.000 5.208 0.000
0.000 0.000 5.208
S Bi Br
1 1 3
direct
0.000 0.000 0.000 S
0.500 0.500 0.500 Bi
0.000 0.500 0.000 Br
0.000 0.000 0.500 Br
0.500 0.000 0.000 Br

=====

x | BiSBr3 (GGA-PBE, relaxed); mass density = 4.242 g cm⁻³; symmetry = Pm-3m, No. 221
1.0
-3.337 -4.421 1.469
4.615 -3.384 0.300
0.636 1.358 5.531
S Bi Br
1 1 3
direct
0.500 0.500 0.500 S
0.000 0.000 0.000 Bi
0.000 0.500 0.000 Br
0.000 0.000 0.500 Br
0.500 0.000 0.000 Br

=====

Ordering by calculated energy gives the sequence x, w, with the first entry being the most stable.

=====

w | BiS2Br (GGA-PBE, relaxed); mass density = 4.759 g cm⁻³; symmetry = R-3m, No. 166
1.0
3.761 -1.162 7.170
6.022 1.882 5.206
2.417 2.891 7.260
S Bi Br
2 1 1
direct
0.895 0.895 0.895 S
0.105 0.105 0.105 S
0.500 0.500 0.500 Bi
0.000 0.000 0.000 Br

=====

x | BiS2Br (GGA-PBE, relaxed); mass density = 5.624 g cm⁻³; symmetry = R-3m, No. 166
1.0
3.044 8.312 2.978
2.315 6.653 6.131
5.499 6.083 4.470
S Bi Br
2 1 1
direct
0.904 0.904 0.904 S
0.096 0.096 0.096 S
0.000 0.000 0.000 Bi
0.500 0.500 0.500 Br

=====

y | BiS2Br (GGA-PBE, relaxed); mass density = 5.221 g cm⁻³; symmetry = I-42d, No. 122
1.0
-6.576 0.589 3.551
-0.857 -7.439 -0.354
-1.853 -3.807 5.113
S Bi Br
4 2 2
direct
0.661 0.125 0.250 S
0.089 0.625 0.250 S
0.375 0.339 0.750 S
0.875 0.911 0.750 S
0.000 0.000 0.000 Bi
0.750 0.250 0.500 Bi
0.500 0.500 0.000 Br
0.250 0.750 0.500 Br

=====

z | BiS2Br (GGA-PBE, relaxed); mass density = 6.731 g cm⁻³; symmetry = Fm-3m, No. 225
1.0
0.000 3.518 3.518
3.518 0.000 3.518
3.518 3.518 0.000
S Bi Br
2 1 1
direct
0.250 0.250 0.250 S
0.750 0.750 0.750 S
0.500 0.500 0.500 Bi
0.000 0.000 0.000 Br

=====

Ordering by calculated energy gives the sequence w, y, z, x, with the first entry being the most stable.